This record from the Alexandria database describes a relaxed Sc4Tl crystal. The functional is GGA-PBE.

Unit cell a=5.368 b=5.368 c=5.368 alpha=90.00 beta=90.00 gamma=90.00
Element x y z (fractional)
1 Sc 0.000 0.000 0.000
2 Sc 0.000 0.500 0.500
3 Sc 0.500 0.000 0.500
4 Sc 0.500 0.500 0.000
5 Tl 0.500 0.500 0.500

Computed properties:
E: -0.36570 Ry/atom
energy of formation: 2.81 eV per formula unit
calculated volume: 154.7 Å³ per cell
density of states at the Fermi level: 9.1 states/eV/f.u.